1.
A crystal of KTaRh relaxed with PBEsol, computed with meta-GGA SCAN. Values from VASP.

Results
energy of formation = 1280 meV per atom
energy above the most stable polymorph in this dataset = 762 meV/atom

```
&SYSTEM
  ibrav = 0, nat = 3, ntyp = 3
/
ATOMIC_SPECIES
Rh 102.91 Rh.upf
Ta 180.95 Ta.upf
K 39.10 K.upf
ATOMIC_POSITIONS crystal
Rh 0.750 0.750 0.750
Ta 0.000 0.000 0.000
K 0.500 0.500 0.500
CELL_PARAMETERS angstrom
-4.043 0.985 1.772
-3.630 0.308 -2.681
-3.222 -3.169 0.183
```

2.
A crystal of KTaRh relaxed with PBEsol, computed with meta-GGA SCAN. Values from VASP.

Results
energy of formation = 518 meV per atom
energy above the most stable polymorph in this dataset = 0 meV/atom

```
&SYSTEM
  ibrav = 0, nat = 3, ntyp = 3
/
ATOMIC_SPECIES
Ta 180.95 Ta.upf
K 39.10 K.upf
Rh 102.91 Rh.upf
ATOMIC_POSITIONS crystal
Ta 0.667 0.333 0.386
K 0.000 0.000 0.979
Rh 0.333 0.667 0.635
CELL_PARAMETERS angstrom
-2.066 -1.308 -1.667
2.310 -1.562 0.989
-4.064 -1.884 6.518
```

3.
A crystal of K2TcRh relaxed with PBEsol, computed with meta-GGA SCAN. Values from VASP.

Results
energy of formation = 560 meV per atom
energy above the most stable polymorph in this dataset = 0 meV/atom

```
&SYSTEM
  ibrav = 0, nat = 4, ntyp = 3
/
ATOMIC_SPECIES
Rh 102.91 Rh.upf
K 39.10 K.upf
Tc 98.00 Tc.upf
ATOMIC_POSITIONS crystal
Rh 0.002 0.000 0.419
K 0.530 0.500 0.659
K 0.974 0.000 0.086
Tc 0.494 0.500 0.335
CELL_PARAMETERS angstrom
2.795 0.000 -0.025
0.000 3.868 0.000
-0.165 0.000 10.061
```

4.
A crystal of K2TcRh relaxed with PBEsol, computed with meta-GGA SCAN. Values from VASP.

Results
energy of formation = 1079 meV per atom
energy above the most stable polymorph in this dataset = 519 meV/atom

```
&SYSTEM
  ibrav = 0, nat = 4, ntyp = 3
/
ATOMIC_SPECIES
K 39.10 K.upf
Tc 98.00 Tc.upf
Rh 102.91 Rh.upf
ATOMIC_POSITIONS crystal
K 0.753 0.753 0.740
K 0.247 0.247 0.260
Tc 0.000 0.000 0.000
Rh 0.500 0.500 0.500
CELL_PARAMETERS angstrom
2.792 0.000 0.000
1.396 2.418 0.000
1.396 0.806 11.313
```

5.
A crystal of K2TiRh relaxed with PBEsol, computed with meta-GGA SCAN. Values from VASP.

Results
energy of formation = 1371 meV per atom

```
&SYSTEM
  ibrav = 0, nat = 4, ntyp = 3
/
ATOMIC_SPECIES
Rh 102.91 Rh.upf
Ti 47.87 Ti.upf
K 39.10 K.upf
ATOMIC_POSITIONS crystal
Rh 0.500 0.500 0.500
Ti 0.000 0.000 0.000
K 0.250 0.250 0.250
K 0.750 0.750 0.750
CELL_PARAMETERS angstrom
-0.933 4.198 -3.037
-4.447 2.753 0.607
0.161 4.837 2.073
```

6.
A crystal of K2TlRh relaxed with PBEsol, computed with meta-GGA SCAN. Values from VASP.

Results
energy of formation = 135 meV per atom
energy above the most stable polymorph in this dataset = 0 meV/atom

```
&SYSTEM
  ibrav = 0, nat = 4, ntyp = 3
/
ATOMIC_SPECIES
Rh 102.91 Rh.upf
K 39.10 K.upf
Tl 204.38 Tl.upf
ATOMIC_POSITIONS crystal
Rh 0.000 0.000 0.606
K 0.000 0.000 0.920
K 0.500 0.500 0.326
Tl 0.500 0.500 0.648
CELL_PARAMETERS angstrom
-0.973 -3.555 0.622
2.349 -0.135 2.904
-7.206 3.018 5.971
```